No. 1
The following is a DFT calculation (PBEsol) of a relaxed NaLi2Bi2 crystal.

The calculation puts the formation enthalpy at 0 K at -8.87 kcal/mol of atoms. The value obtained for the total moment is 0.0 μB/f.u. For the final energy, the calculation gives -31.65 eV/cell.

Geometry as CIF:
```
data_NaLi2Bi2
_symmetry_space_group_name_H-M 'P 4/m b m'
_symmetry_Int_Tables_number 127
_symmetry_space_group_name_Hall '-P 4 2ab'
_cell_length_a 8.706
_cell_length_b 8.706
_cell_length_c 3.234
_cell_angle_alpha 90.00
_cell_angle_beta 90.00
_cell_angle_gamma 90.00
loop_
_atom_site_label
_atom_site_fract_x
_atom_site_fract_y
_atom_site_fract_z
Na1 0.000 0.000 0.000
Li1 0.126 0.374 0.500
Bi1 0.167 0.667 0.000
```

No. 2
The following is a DFT calculation (PBEsol) of a relaxed Na2LiBi2 crystal.

The calculation puts the formation enthalpy at 0 K at -7.54 kcal/mol of atoms. The value obtained for the total moment is 0.0 μB/f.u. For the final energy, the calculation gives -29.95 eV/cell.

Geometry as CIF:
```
data_Na2LiBi2
_symmetry_space_group_name_H-M 'P 4/m b m'
_symmetry_Int_Tables_number 127
_symmetry_space_group_name_Hall '-P 4 2ab'
_cell_length_a 7.537
_cell_length_b 7.537
_cell_length_c 4.964
_cell_angle_alpha 90.00
_cell_angle_beta 90.00
_cell_angle_gamma 90.00
loop_
_atom_site_label
_atom_site_fract_x
_atom_site_fract_y
_atom_site_fract_z
Na1 0.162 0.338 0.000
Li1 0.000 0.000 0.500
Bi1 0.144 0.644 0.500
```

No. 3
The following is a DFT calculation (PBEsol) of a relaxed NaLiBi2 crystal.

The calculation puts the formation enthalpy at 0 K at -6.88 kcal/mol of atoms. The value obtained for the total moment is 0.0 μB/f.u. For the final energy, the calculation gives -52.52 eV/cell.

Geometry as CIF:
```
data_NaLiBi2
_symmetry_space_group_name_H-M 'F m -3 m'
_symmetry_Int_Tables_number 225
_symmetry_space_group_name_Hall '-F 4 2 3'
_cell_length_a 7.370
_cell_length_b 7.370
_cell_length_c 7.370
_cell_angle_alpha 90.00
_cell_angle_beta 90.00
_cell_angle_gamma 90.00
loop_
_atom_site_label
_atom_site_fract_x
_atom_site_fract_y
_atom_site_fract_z
Na1 0.000 0.000 0.000
Li1 0.000 0.000 0.500
Bi1 0.250 0.250 0.250
```

Q: total moment of number 3 (NaLiBi2)?
A: 0.0 μB/f.u.

Q: Which of these has the lowest formation enthalpy at 0 K?
A: NaLi2Bi2

Please write out number 3 again, unchanged.
The following is a DFT calculation (PBEsol) of a relaxed NaLiBi2 crystal.

The calculation puts the formation enthalpy at 0 K at -6.88 kcal/mol of atoms. The value obtained for the total moment is 0.0 μB/f.u. For the final energy, the calculation gives -52.52 eV/cell.

Geometry as CIF:
```
data_NaLiBi2
_symmetry_space_group_name_H-M 'F m -3 m'
_symmetry_Int_Tables_number 225
_symmetry_space_group_name_Hall '-F 4 2 3'
_cell_length_a 7.370
_cell_length_b 7.370
_cell_length_c 7.370
_cell_angle_alpha 90.00
_cell_angle_beta 90.00
_cell_angle_gamma 90.00
loop_
_atom_site_label
_atom_site_fract_x
_atom_site_fract_y
_atom_site_fract_z
Na1 0.000 0.000 0.000
Li1 0.000 0.000 0.500
Bi1 0.250 0.250 0.250
```

Q: Which value of formation enthalpy at 0 K does entry 2 give?
A: -7.54 kcal/mol of atoms